No. 1
Material: SnH12PtN4Cl6
Method: DFT, PBE
State: relaxed

For the density of states at the Fermi level, the calculation gives 0.00 states/eV/atom. Its spin magnetization is 0.28 μB/cell.

The structure belongs to space group Cmce (No. 64); the cell edges are 12.002, 11.160 and 10.972 Å and the angles 90.00°, 90.00° and 90.00°. The asymmetric unit holds Sn at (0.000, 0.000, 0.000), H at (0.106, 0.188, 0.409), H at (0.129, 0.069, 0.322), H at (0.199, 0.088, 0.451), Pt at (0.000, 0.000, 0.500), N at (0.122, 0.098, 0.411), Cl at (0.000, 0.178, 0.131) and Cl at (0.148, 0.093, 0.872).

---

No. 2
Material: Rb2HNCl6
Method: DFT, PBE
State: relaxed

For the density of states at the Fermi level, the calculation gives 0.68 states/eV/atom. Its spin magnetization is 4.25 μB/cell.

The structure belongs to space group I4/mmm (No. 139); the cell edges are 7.290, 7.290 and 9.896 Å and the angles 90.00°, 90.00° and 90.00°. The asymmetric unit holds Rb at (0.000, 0.500, 0.250), H at (0.000, 0.000, 0.000), N at (0.000, 0.000, 0.500), Cl at (0.000, 0.000, 0.158) and Cl at (0.204, 0.204, 0.500).

---

No. 3
Material: RbH6N2Cl2
Method: DFT, PBE
State: relaxed

Its spin magnetization is 2.00 μB/cell.

The structure belongs to space group C2/m (No. 12); the cell edges are 8.991, 5.166 and 8.431 Å and the angles 90.00°, 108.53° and 90.00°. The asymmetric unit holds Rb at (0.000, 0.000, 0.000), H at (0.158, 0.500, 0.441), H at (0.159, 0.333, 0.621), N at (0.132, 0.500, 0.551) and Cl at (0.232, 0.500, 0.205).

---

No. 4
Material: RbH4NCl2
Method: DFT, PBE
State: relaxed

For the density of states at the Fermi level, the calculation gives 0.00 states/eV/atom. Its spin magnetization is 0.01 μB/cell.

The structure belongs to space group I4_1/amd (No. 141, origin choice 2); the cell edges are 6.554, 6.554 and 13.584 Å and the angles 90.00°, 90.00° and 90.00°. The asymmetric unit holds Rb at (0.000, 0.250, 0.375), H at (0.000, 0.120, 0.918), N at (0.000, 0.250, 0.875) and Cl at (0.000, 0.250, 0.116).

---

The E_tot results, record by record, are as follows: -438.955; -57.665; -96.398; -135.475 eV/cell.